Record 1
Entry from the Alexandria database: crystalline LaEuCd2 at its relaxed geometry (PBE-GGA).

Unit cell a=5.5546 b=5.5546 c=3.9557 alpha=90.00 beta=90.00 gamma=90.00
Fractional coordinates of all 4 atoms:
La: 0.0000 0.0000 0.0000
Eu: 0.5000 0.5000 0.0000
Cd: 0.0000 0.5000 0.5000
Cd: 0.5000 0.0000 0.5000

Computed properties:
- Magnetization: 7.26 μB per formula unit
- ΔH_f (0 K): -0.35 eV per atom
- N(E_F): 1.860 states/eV/atom

=====

Record 2
Entry from the Alexandria database: crystalline La2RhPb at its relaxed geometry (PBE-GGA).

Unit cell a=4.3450 b=5.7204 c=9.0270 alpha=90.00 beta=90.00 gamma=90.00
Fractional coordinates of all 8 atoms:
La: 0.0000 0.0000 0.2076
La: 0.0000 0.0000 0.7924
La: 0.5000 0.5000 0.2924
La: 0.5000 0.5000 0.7076
Rh: 0.0000 0.5000 0.5000
Rh: 0.5000 0.0000 0.0000
Pb: 0.0000 0.5000 0.0000
Pb: 0.5000 0.0000 0.5000

Computed properties:
- Magnetization: 0.00 μB per formula unit
- ΔH_f (0 K): -0.53 eV per atom
- N(E_F): 0.711 states/eV/atom

=====

Record 3
Entry from the Alexandria database: crystalline LiCoI2N at its relaxed geometry (PBE-GGA).

Unit cell a=5.5058 b=5.5058 c=3.5170 alpha=90.00 beta=90.00 gamma=90.00
Fractional coordinates of all 5 atoms:
Li: 0.0000 0.0000 0.0000
Co: 0.5000 0.5000 0.5000
I: 0.0000 0.5000 0.5000
I: 0.5000 0.0000 0.5000
N: 0.5000 0.5000 0.0000

Computed properties:
- Magnetization: 0.00 μB per formula unit
- Energy above the lowest structure with this stoichiometry: 0.0 meV/atom
- N(E_F): 0.802 states/eV/atom

=====

Record 4
Entry from the Alexandria database: crystalline Hg2HOs at its relaxed geometry (PBE-GGA).

Unit cell a=5.1510 b=5.1510 c=11.8277 alpha=90.00 beta=90.00 gamma=90.00
Fractional coordinates of all 16 atoms:
Hg: 0.1408 0.2500 0.1250
Hg: 0.2500 0.6408 0.3750
Hg: 0.2500 0.8592 0.8750
Hg: 0.3592 0.2500 0.6250
Hg: 0.6408 0.7500 0.6250
Hg: 0.7500 0.1408 0.8750
Hg: 0.7500 0.3592 0.3750
Hg: 0.8592 0.7500 0.1250
H: 0.0000 0.0000 0.0000
H: 0.0000 0.5000 0.2500
H: 0.5000 0.0000 0.7500
H: 0.5000 0.5000 0.5000
Os: 0.0000 0.0000 0.5000
Os: 0.0000 0.5000 0.7500
Os: 0.5000 0.0000 0.2500
Os: 0.5000 0.5000 0.0000

Computed properties:
- Magnetization: 1.85 μB per formula unit
- Energy above the lowest structure with this stoichiometry: 86.0 meV/atom
- N(E_F): 0.910 states/eV/atom

=====

Record 5
Entry from the Alexandria database: crystalline Y2CuBr at its relaxed geometry (PBE-GGA).

Unit cell a=4.0003 b=4.0003 c=22.2498 alpha=90.00 beta=90.00 gamma=120.00
Fractional coordinates of all 12 atoms:
Y: 0.0000 0.0000 0.2366
Y: 0.0000 0.0000 0.7634
Y: 0.3333 0.6667 0.4301
Y: 0.3333 0.6667 0.9032
Y: 0.6667 0.3333 0.0968
Y: 0.6667 0.3333 0.5699
Cu: 0.0000 0.0000 0.5000
Cu: 0.3333 0.6667 0.1667
Cu: 0.6667 0.3333 0.8333
Br: 0.0000 0.0000 0.0000
Br: 0.3333 0.6667 0.6667
Br: 0.6667 0.3333 0.3333

Computed properties:
- Magnetization: 0.00 μB per formula unit
- Energy above the lowest structure with this stoichiometry: 0.0 meV/atom
- N(E_F): 0.812 states/eV/atom